This record from Alexandria describes LiTl4W after structural relaxation. The functional is PBE-GGA.

Computed properties:
**Energy**: -0.2244 Ry/atom
**Density of states at the Fermi level**: 0.72 states/eV/atom
**Symmetry**: F-43m

```
LiTl4W
1.0
0.000 4.372 4.372
4.372 0.000 4.372
4.372 4.372 0.000
W Tl Li
1 4 1
direct
0.750 0.750 0.750
0.375 0.375 0.874
0.375 0.874 0.375
0.375 0.375 0.375
0.874 0.375 0.375
0.000 0.000 0.000
```